#1
Density functional theory data (PBE) for a relaxed structure of AcLaSmTh.

a = 5.925 Å, b = 5.925 Å, c = 5.925 Å
α = 60.00°, β = 60.00°, γ = 60.00°
Element x y z (fractional)
Ac (0.000, 0.000, 0.000)
La (0.750, 0.750, 0.750)
Sm (0.250, 0.250, 0.250)
Th (0.500, 0.500, 0.500)

Results
V   36.8 Å³/atom
DOS(E_F)   12.009 states/eV/f.u.
Space-group type   No. 216


#2
Density functional theory data (PBE) for a relaxed structure of AcLaSmTh.

a = 3.698 Å, b = 3.698 Å, c = 10.734 Å
α = 90.00°, β = 90.00°, γ = 90.00°
Element x y z (fractional)
Ac (0.000, 0.000, 0.000)
La (0.500, 0.500, 0.719)
Sm (0.500, 0.500, 0.268)
Th (0.000, 0.000, 0.492)

Results
V   36.7 Å³/atom
DOS(E_F)   5.174 states/eV/f.u.
Space-group type   No. 99


#2 has the most favorable energy; the next structure is 171 meV per atom above.